This record from the Alexandria database describes PuFeF6 after structural relaxation. The functional is PBE with a Hubbard U.

Density of states at the Fermi level = 0.24 states/eV per atom
M_tot = 7.994 μB per cell
SG = P312
E = -55.7 eV/f.u.

Lattice parameters (Å, degrees): 5.3385 5.3385 5.0522 90.00 90.00 120.00
With the nearest neighbours (Å) after each atom.
Positions (direct):
Pu 0.0000 0.0000 0.0000  6 F 2.17
Fe 0.6667 0.3333 0.5000  6 F 2.09
F 0.3386 0.0275 0.7435  1 Fe 2.09, 1 Pu 2.17
F 0.3386 0.3111 0.2565  1 Fe 2.09, 1 Pu 2.17
F 0.6889 0.0275 0.2565  1 Fe 2.09, 1 Pu 2.17
F 0.6889 0.6614 0.7435  1 Fe 2.09, 1 Pu 2.17
F 0.9725 0.3111 0.7435  1 Fe 2.09, 1 Pu 2.17
F 0.9725 0.6614 0.2565  1 Fe 2.09, 1 Pu 2.17